Record 1
VASP calculation (PBE-GGA) on a relaxed Pt3RhSe crystal.

Summary:
The value obtained for the energy above the lowest structure with this stoichiometry is 503 meV per atom.

```
5
Lattice="4.813 0.000 0.000 0.000 4.813 0.000 0.000 0.000 4.813" Properties=species:S:1:pos:R:3 pbc="T T T"
Pt 0.000 0.000 2.406
Pt 0.000 2.406 0.000
Pt 2.406 0.000 0.000
Rh 0.000 0.000 0.000
Se 2.406 2.406 2.406
```

---

Record 2
VASP calculation (PBE-GGA) on a relaxed PtRh2Se crystal.

```
4
Lattice="4.377 -1.474 0.000 4.377 1.474 0.000 -1.152 0.000 4.787" Properties=species:S:1:pos:R:3 pbc="T T T"
Pt 0.000 0.000 0.000
Rh 1.260 0.000 3.560
Rh 6.342 0.000 1.228
Se 3.801 0.000 2.394
```

---

Record 3
VASP calculation (PBE-GGA) on a relaxed PtRhSe2 crystal.

```
4
Lattice="3.186 -1.819 0.000 3.186 1.819 0.000 -2.080 0.000 6.188" Properties=species:S:1:pos:R:3 pbc="T T T"
Pt 0.000 0.000 0.000
Rh 2.146 0.000 3.094
Se 0.029 0.000 4.603
Se 4.263 0.000 1.585
```

---

Record 4
VASP calculation (PBE-GGA) on a relaxed Pt2RhSe crystal.

```
4
Lattice="4.791 0.000 0.000 0.000 4.791 0.000 0.000 0.000 2.800" Properties=species:S:1:pos:R:3 pbc="T T T"
Pt 0.000 2.396 0.000
Pt 2.396 0.000 0.000
Rh 0.000 0.000 1.400
Se 2.396 2.396 1.400
```

---

How do the records compare in uncorrected formation energy? In the order shown, they have 1408 140 -18 217 meV per atom.